[1]
Computed, not measured: a relaxed Ba3SrS crystal at the GGA-PBE level of DFT.

Cell: 6.376 6.376 6.376 Å, 90.00 90.00 90.00°
Sites, in units of the cell vectors:
Ba (0.000, 0.000, 0.500)
Ba (0.000, 0.500, 0.000)
Ba (0.500, 0.000, 0.000)
Sr (0.500, 0.500, 0.500)
S (0.000, 0.000, 0.000)

The uncorrected formation energy comes out at -745 meV per atom. The value obtained for the energy relative to the lowest polymorph listed for this composition is 0.000 eV/atom. Its calculated total energy is -15.30 eV per cell. The density of states at the Fermi level comes out at 6.7 states/eV/cell.



[2]
Computed, not measured: a relaxed Ba2SrS crystal at the GGA-PBE level of DFT.

Cell: 12.214 12.214 12.214 Å, 20.60 20.60 20.60°
Sites, in units of the cell vectors:
Ba (0.115, 0.115, 0.115)
Ba (0.885, 0.885, 0.885)
Sr (0.000, 0.000, 0.000)
S (0.500, 0.500, 0.500)

The uncorrected formation energy comes out at -873 meV per atom. Its calculated total energy is -13.14 eV per cell. The density of states at the Fermi level comes out at 4.1 states/eV/cell.